(1)
First-principles (PBE) data for an optimized crystal structure of SrAcCdPd, as listed in Alexandria via LeMat-Bulk.

Cell: 7.818 7.818 7.818 Å, 90.00 90.00 90.00°
Space group F-43m (No. 216)
Asymmetric unit:
Sr1 0.000 0.000 0.000 (multiplicity 4)
Ac1 0.000 0.000 0.500 (multiplicity 4)
Cd1 0.250 0.250 0.250 (multiplicity 4)
Pd1 0.250 0.250 0.750 (multiplicity 4)

Computed properties:
Density of states at the Fermi level   0.82 states/eV/atom
Calculated total energy   -54.39 eV per cell
Formation enthalpy at 0 K   -0.4247 eV/atom

***

(2)
First-principles (PBE) data for an optimized crystal structure of Ac2TbCdPd6, as listed in Alexandria via LeMat-Bulk.

Cell: 10.137 10.137 10.137 Å, 90.00 90.00 90.00°
Space group Fm-3m (No. 225)
Asymmetric unit:
Ac1 0.250 0.250 0.250 (multiplicity 8)
Tb1 0.000 0.000 0.000 (multiplicity 4)
Cd1 0.000 0.000 0.500 (multiplicity 4)
Pd1 0.000 0.000 0.250 (multiplicity 24)

Computed properties:
Density of states at the Fermi level   0.53 states/eV/atom
Calculated total energy   -187.35 eV per cell
Formation enthalpy at 0 K   -0.1918 eV/atom